No. 1
Entry from Alexandria via LeMat-Bulk: a relaxed structure of Cu2BPtCl (PBE).

It has space group P4/mmm (No. 123), with a = 4.8992 Å, b = 4.8992 Å, c = 3.9848 Å, α = 90.00°, β = 90.00° and γ = 90.00°. The asymmetric unit holds Cu at (0.0000, 0.5000, 0.0000), B at (0.0000, 0.0000, 0.5000), Pt at (0.0000, 0.0000, 0.0000) and Cl at (0.5000, 0.5000, 0.5000).

The calculation puts the density of states at the Fermi level at 1.8 states/eV/cell. The energy relative to the elements, uncorrected comes out at 0.62 eV/atom. The crystal system is tetragonal. As for the magnetization: 0.0 μB per formula unit.


No. 2
Entry from Alexandria via LeMat-Bulk: a relaxed structure of AcTb6Y3Tm2 (PBE).

It has space group C2/m (No. 12), with a = 6.2127 Å, b = 10.7546 Å, c = 11.9057 Å, α = 90.00°, β = 99.98° and γ = 90.00°. The asymmetric unit holds Ac at (0.0000, 0.0000, 0.0000), Tb at (0.2473, 0.3317, 0.7472), Tb at (0.2477, 0.5000, 0.2530), Y at (0.0000, 0.1673, 0.5000), Y at (0.0000, 0.5000, 0.5000) and Tm at (0.0000, 0.3333, 0.0000).

As for the formation energy: 0.03 eV/atom. The calculation puts the density of states at the Fermi level at 32.6 states/eV/cell. The crystal system is monoclinic. As for the magnetization: 0.0 μB per formula unit.


No. 3
Entry from Alexandria via LeMat-Bulk: a relaxed structure of KZnCdB2 (PBE).

It has space group P4/mmm (No. 123), with a = 5.7289 Å, b = 5.7289 Å, c = 6.6791 Å, α = 90.00°, β = 90.00° and γ = 90.00°. The asymmetric unit holds K at (0.0000, 0.0000, 0.0000), Zn at (0.5000, 0.5000, 0.5000), Cd at (0.0000, 0.0000, 0.5000) and B at (0.0000, 0.5000, 0.0000).

As for the formation energy: 2.42 eV/atom. The calculation puts the density of states at the Fermi level at 5.2 states/eV/cell. The crystal system is tetragonal. As for the magnetization: 3.0 μB per formula unit.